Entry 1:
# PBE TiSn3Sb, relaxed
data_TiSn3Sb
_chemical_formula_sum 'Ti1 Sn3 Sb1'
_space_group_name_H-M_alt 'P m -3 m'
_space_group_IT_number 221
_space_group_name_Hall '-P 4 2 3'
_cell_length_a 5.622
_cell_length_b 5.622
_cell_length_c 5.622
_cell_angle_alpha 90.00
_cell_angle_beta 90.00
_cell_angle_gamma 90.00
loop_
_atom_site_label
_atom_site_type_symbol
_atom_site_fract_x
_atom_site_fract_y
_atom_site_fract_z
Ti1 Ti 0.000 0.000 0.000
Sn1 Sn 0.000 0.500 0.500
Sb1 Sb 0.500 0.500 0.500
# Fermi-level density of states = 12.93 states/eV/cell
# M_tot = 0.04 μB/cell
# Formation energy from raw total energies = 1162 meV per atom
# Uncorrected energy = -3.643 eV/atom
# Energy above the most stable polymorph in this dataset = 819 meV/atom

***

Entry 2:
# PBE Rb2Ag2PdCl6, relaxed
data_Rb2Ag2PdCl6
_chemical_formula_sum 'Rb4 Ag4 Pd2 Cl12'
_space_group_name_H-M_alt 'C 1 2/m 1'
_space_group_IT_number 12
_cell_length_a 15.503
_cell_length_b 7.096
_cell_length_c 5.944
_cell_angle_alpha 90.00
_cell_angle_beta 101.01
_cell_angle_gamma 90.00
loop_
_space_group_symop_operation_xyz
'x,y,z'
'-x,-y,-z'
'-x,y,-z'
'x,-y,z'
'x+1/2,y+1/2,z'
'-x+1/2,-y+1/2,-z'
'-x+1/2,y+1/2,-z'
'x+1/2,-y+1/2,z'
loop_
_atom_site_label
_atom_site_type_symbol
_atom_site_fract_x
_atom_site_fract_y
_atom_site_fract_z
Rb1 Rb 0.207 0.000 0.211
Ag1 Ag 0.038 0.500 0.257
Pd1 Pd 0.000 0.000 0.500
Cl1 Cl 0.075 0.230 0.740
Cl2 Cl 0.195 0.500 0.246
# M_tot = 0.00 μB/cell
# Formation energy from raw total energies = -1013 meV per atom
# Uncorrected energy = -3.186 eV/atom

***

Entry 3:
# PBE ZrBiTe, relaxed
data_ZrBiTe
_chemical_formula_sum 'Zr8 Bi8 Te8'
_space_group_name_H-M_alt 'C 1 2/m 1'
_space_group_IT_number 12
_cell_length_a 16.822
_cell_length_b 5.216
_cell_length_c 8.352
_cell_angle_alpha 90.00
_cell_angle_beta 100.92
_cell_angle_gamma 90.00
loop_
_space_group_symop_operation_xyz
'x,y,z'
'-x,-y,-z'
'-x,y,-z'
'x,-y,z'
'x+1/2,y+1/2,z'
'-x+1/2,-y+1/2,-z'
'-x+1/2,y+1/2,-z'
'x+1/2,-y+1/2,z'
loop_
_atom_site_label
_atom_site_type_symbol
_atom_site_fract_x
_atom_site_fract_y
_atom_site_fract_z
Zr1 Zr 0.103 0.000 0.164
Zr2 Zr 0.195 0.000 0.575
Bi1 Bi 0.065 0.000 0.786
Bi2 Bi 0.068 0.500 0.386
Te1 Te 0.174 0.500 0.092
Te2 Te 0.223 0.500 0.704
# Fermi-level density of states = 11.31 states/eV/cell
# M_tot = 0.00 μB/cell
# Formation energy from raw total energies = -329 meV per atom
# Uncorrected energy = -5.519 eV/atom

***

Entry 4:
# PBE LiCd2Cl, relaxed
data_LiCd2Cl
_chemical_formula_sum 'Li2 Cd4 Cl2'
_space_group_name_H-M_alt 'C 1 2/m 1'
_space_group_IT_number 12
_cell_length_a 13.459
_cell_length_b 3.965
_cell_length_c 3.950
_cell_angle_alpha 90.00
_cell_angle_beta 106.36
_cell_angle_gamma 90.00
loop_
_space_group_symop_operation_xyz
'x,y,z'
'-x,-y,-z'
'-x,y,-z'
'x,-y,z'
'x+1/2,y+1/2,z'
'-x+1/2,-y+1/2,-z'
'-x+1/2,y+1/2,-z'
'x+1/2,-y+1/2,z'
loop_
_atom_site_label
_atom_site_type_symbol
_atom_site_fract_x
_atom_site_fract_y
_atom_site_fract_z
Li1 Li 0.000 0.000 0.000
Cd1 Cd 0.247 0.500 0.247
Cl1 Cl 0.000 0.500 0.500
# Fermi-level density of states = 1.56 states/eV/cell
# M_tot = 0.00 μB/cell
# Formation energy from raw total energies = -565 meV per atom
# Uncorrected energy = -1.963 eV/atom
# Energy above the most stable polymorph in this dataset = 117 meV/atom

***

Entry 5:
# PBE Ac2MnPRh6, relaxed
data_Ac2MnPRh6
_chemical_formula_sum 'Ac6 Mn3 P3 Rh18'
_space_group_name_H-M_alt 'R -3 m'
_space_group_IT_number 166
_space_group_name_Hall '-R 3 2"'
_cell_length_a 6.1339
_cell_length_b 6.1339
_cell_length_c 18.1962
_cell_angle_alpha 90.00
_cell_angle_beta 90.00
_cell_angle_gamma 120.00
loop_
_atom_site_label
_atom_site_type_symbol
_atom_site_fract_x
_atom_site_fract_y
_atom_site_fract_z
Ac1 Ac 0.0000 0.0000 0.2288
Mn1 Mn 0.0000 0.0000 0.5000
P1 P 0.0000 0.0000 0.0000
Rh1 Rh 0.0360 0.5180 0.2733
# Fermi-level density of states = 15.20 states/eV/cell
# M_tot = 10.19 μB/cell
# Formation energy = -0.50 eV per atom
# Uncorrected energy = -7.186 eV/atom

***

Entry 6:
# PBE LiCe2TaN4, relaxed
data_LiCe2TaN4
_chemical_formula_sum 'Li1 Ce2 Ta1 N4'
_space_group_name_H-M_alt 'P 1 2/m 1'
_space_group_IT_number 10
_cell_length_a 5.733
_cell_length_b 3.357
_cell_length_c 5.850
_cell_angle_alpha 90.00
_cell_angle_beta 109.75
_cell_angle_gamma 90.00
loop_
_space_group_symop_operation_xyz
'x,y,z'
'-x,-y,-z'
'-x,y,-z'
'x,-y,z'
loop_
_atom_site_label
_atom_site_type_symbol
_atom_site_fract_x
_atom_site_fract_y
_atom_site_fract_z
Li1 Li 0.000 0.000 0.000
Ce1 Ce 0.500 0.000 0.500
Ce2 Ce 0.500 0.500 0.000
Ta1 Ta 0.000 0.500 0.500
N1 N 0.222 0.000 0.726
N2 N 0.231 0.500 0.280
# Fermi-level density of states = 4.20 states/eV/cell
# M_tot = 0.45 μB/cell
# Formation energy from raw total energies = -1145 meV per atom
# Uncorrected energy = -8.512 eV/atom

***

Entry 7:
# PBE BaHgOs2, relaxed
data_BaHgOs2
_chemical_formula_sum 'Ba1 Hg1 Os2'
_space_group_name_H-M_alt 'P 4 m m'
_space_group_IT_number 99
_cell_length_a 3.346
_cell_length_b 3.346
_cell_length_c 8.147
_cell_angle_alpha 90.00
_cell_angle_beta 90.00
_cell_angle_gamma 90.00
loop_
_space_group_symop_operation_xyz
'x,y,z'
'-y,x,z'
'-x,-y,z'
'y,-x,z'
'-x,y,z'
'y,x,z'
'x,-y,z'
'-y,-x,z'
loop_
_atom_site_label
_atom_site_type_symbol
_atom_site_fract_x
_atom_site_fract_y
_atom_site_fract_z
Ba1 Ba 0.000 0.000 0.000
Hg1 Hg 0.500 0.500 0.318
Os1 Os 0.000 0.000 0.569
Os2 Os 0.500 0.500 0.686
# Fermi-level density of states = 2.24 states/eV/cell
# M_tot = 0.00 μB/cell
# Formation energy = 0.56 eV per atom
# Uncorrected energy = -5.612 eV/atom

***

Entry 8:
# PBE CeCoC, relaxed
data_CeCoC
_chemical_formula_sum 'Ce4 Co4 C4'
_space_group_name_H-M_alt 'P n m a'
_space_group_IT_number 62
_cell_length_a 6.004
_cell_length_b 3.438
_cell_length_c 8.237
_cell_angle_alpha 90.00
_cell_angle_beta 90.00
_cell_angle_gamma 90.00
loop_
_space_group_symop_operation_xyz
'x,y,z'
'-x,-y,-z'
'-x+1/2,-y,z+1/2'
'x+1/2,y,-z+1/2'
'x+1/2,-y+1/2,-z+1/2'
'-x+1/2,y+1/2,z+1/2'
'-x,y+1/2,-z'
'x,-y+1/2,z'
loop_
_atom_site_label
_atom_site_type_symbol
_atom_site_fract_x
_atom_site_fract_y
_atom_site_fract_z
Ce1 Ce 0.002 0.250 0.187
Co1 Co 0.129 0.250 0.533
C1 C 0.205 0.750 0.450
# Fermi-level density of states = 15.00 states/eV/cell
# M_tot = 0.00 μB/cell
# Formation energy = -0.17 eV per atom
# Uncorrected energy = -7.593 eV/atom
# Energy above the most stable polymorph in this dataset = 10 meV/atom

***

Entry 9:
# PBE Cs3CeTe3, relaxed
data_Cs3CeTe3
_chemical_formula_sum 'Cs12 Ce4 Te12'
_space_group_name_H-M_alt 'C 1 2/m 1'
_space_group_IT_number 12
_cell_length_a 10.607
_cell_length_b 16.247
_cell_length_c 9.455
_cell_angle_alpha 90.00
_cell_angle_beta 100.09
_cell_angle_gamma 90.00
loop_
_space_group_symop_operation_xyz
'x,y,z'
'-x,-y,-z'
'-x,y,-z'
'x,-y,z'
'x+1/2,y+1/2,z'
'-x+1/2,-y+1/2,-z'
'-x+1/2,y+1/2,-z'
'x+1/2,-y+1/2,z'
loop_
_atom_site_label
_atom_site_type_symbol
_atom_site_fract_x
_atom_site_fract_y
_atom_site_fract_z
Cs1 Cs 0.000 0.178 0.000
Cs2 Cs 0.000 0.244 0.500
Cs3 Cs 0.117 0.500 0.867
Ce1 Ce 0.182 0.000 0.640
Te1 Te 0.096 0.000 0.307
Te2 Te 0.187 0.349 0.223
# Fermi-level density of states = 34.12 states/eV/cell
# M_tot = 4.00 μB/cell
# Formation energy from raw total energies = -1148 meV per atom
# Uncorrected energy = -3.708 eV/atom

***

Entry 10:
# PBE DyHo2PaS4, relaxed
data_DyHo2PaS4
_chemical_formula_sum 'Dy1 Ho2 Pa1 S4'
_space_group_name_H-M_alt 'P 1 2/m 1'
_space_group_IT_number 10
_cell_length_a 6.748
_cell_length_b 3.859
_cell_length_c 6.759
_cell_angle_alpha 90.00
_cell_angle_beta 108.99
_cell_angle_gamma 90.00
loop_
_space_group_symop_operation_xyz
'x,y,z'
'-x,-y,-z'
'-x,y,-z'
'x,-y,z'
loop_
_atom_site_label
_atom_site_type_symbol
_atom_site_fract_x
_atom_site_fract_y
_atom_site_fract_z
Dy1 Dy 0.000 0.000 0.000
Ho1 Ho 0.000 0.500 0.500
Ho2 Ho 0.500 0.000 0.500
Pa1 Pa 0.500 0.500 0.000
S1 S 0.247 0.000 0.746
S2 S 0.250 0.500 0.252
# Fermi-level density of states = 5.23 states/eV/cell
# M_tot = 0.00 μB/cell
# Formation energy from raw total energies = -1869 meV per atom
# Uncorrected energy = -6.840 eV/atom

***

Please write out number 2 again, unchanged.
# PBE Rb2Ag2PdCl6, relaxed
data_Rb2Ag2PdCl6
_chemical_formula_sum 'Rb4 Ag4 Pd2 Cl12'
_space_group_name_H-M_alt 'C 1 2/m 1'
_space_group_IT_number 12
_cell_length_a 15.503
_cell_length_b 7.096
_cell_length_c 5.944
_cell_angle_alpha 90.00
_cell_angle_beta 101.01
_cell_angle_gamma 90.00
loop_
_space_group_symop_operation_xyz
'x,y,z'
'-x,-y,-z'
'-x,y,-z'
'x,-y,z'
'x+1/2,y+1/2,z'
'-x+1/2,-y+1/2,-z'
'-x+1/2,y+1/2,-z'
'x+1/2,-y+1/2,z'
loop_
_atom_site_label
_atom_site_type_symbol
_atom_site_fract_x
_atom_site_fract_y
_atom_site_fract_z
Rb1 Rb 0.207 0.000 0.211
Ag1 Ag 0.038 0.500 0.257
Pd1 Pd 0.000 0.000 0.500
Cl1 Cl 0.075 0.230 0.740
Cl2 Cl 0.195 0.500 0.246
# M_tot = 0.00 μB/cell
# Formation energy from raw total energies = -1013 meV per atom
# Uncorrected energy = -3.186 eV/atom